Record 1
# TcIrRh2, relaxed, DFT PBE-GGA
# - energy above the most stable polymorph in this dataset (meV/atom) = 1141
# - formation energy from the elements (eV/atom) = 1.042
# - N(E_F) (states/eV per cell) = 10.12
data_TcIrRh2
_chemical_formula_sum 'Tc4 Ir4 Rh8'
_space_group_name_H-M_alt 'I -4 2 d'
_space_group_IT_number 122
_space_group_name_Hall 'I -4 2bw'
_cell_length_a 5.540
_cell_length_b 5.540
_cell_length_c 11.025
_cell_angle_alpha 90.00
_cell_angle_beta 90.00
_cell_angle_gamma 90.00
loop_
_atom_site_label
_atom_site_type_symbol
_atom_site_fract_x
_atom_site_fract_y
_atom_site_fract_z
Tc1 Tc 0.000 0.000 0.000
Ir1 Ir 0.000 0.000 0.500
Rh1 Rh 0.246 0.250 0.125



Record 2
# NdScMn4, relaxed, DFT PBE-GGA
# - formation energy from the elements (eV/atom) = 0.159
# - N(E_F) (states/eV per cell) = 29.44
data_NdScMn4
_chemical_formula_sum 'Nd4 Sc4 Mn16'
_space_group_name_H-M_alt 'F -4 3 m'
_space_group_IT_number 216
_space_group_name_Hall 'F -4 2 3'
_cell_length_a 7.213
_cell_length_b 7.213
_cell_length_c 7.213
_cell_angle_alpha 90.00
_cell_angle_beta 90.00
_cell_angle_gamma 90.00
loop_
_atom_site_label
_atom_site_type_symbol
_atom_site_fract_x
_atom_site_fract_y
_atom_site_fract_z
Nd1 Nd 0.000 0.000 0.000
Sc1 Sc 0.250 0.250 0.750
Mn1 Mn 0.124 0.124 0.376



Record 3
# SmGeAu, relaxed, DFT PBE-GGA
# - formation energy from the elements (eV/atom) = -0.717
# - N(E_F) (states/eV per cell) = 3.01
data_SmGeAu
_chemical_formula_sum 'Sm2 Ge2 Au2'
_space_group_name_H-M_alt 'P m m a'
_space_group_IT_number 51
_space_group_name_Hall '-P 2a 2a'
_cell_length_a 4.674
_cell_length_b 3.790
_cell_length_c 7.687
_cell_angle_alpha 90.00
_cell_angle_beta 90.00
_cell_angle_gamma 90.00
loop_
_atom_site_label
_atom_site_type_symbol
_atom_site_fract_x
_atom_site_fract_y
_atom_site_fract_z
Sm1 Sm 0.250 0.000 0.250
Ge1 Ge 0.250 0.500 0.571
Au1 Au 0.250 0.500 0.904



Record 4
# Bi2S2N, relaxed, DFT PBE-GGA
# - energy above the most stable polymorph in this dataset (meV/atom) = 0
# - N(E_F) (states/eV per cell) = 7.35
data_Bi2S2N
_chemical_formula_sum 'Bi4 S4 N2'
_space_group_name_H-M_alt 'I 4/m m m'
_space_group_IT_number 139
_space_group_name_Hall '-I 4 2'
_cell_length_a 5.293
_cell_length_b 5.293
_cell_length_c 12.390
_cell_angle_alpha 90.00
_cell_angle_beta 90.00
_cell_angle_gamma 90.00
loop_
_atom_site_label
_atom_site_type_symbol
_atom_site_fract_x
_atom_site_fract_y
_atom_site_fract_z
Bi1 Bi 0.000 0.000 0.164
S1 S 0.000 0.500 0.250
N1 N 0.000 0.000 0.000